Record 1
Below is a geometry-optimized KCu2Cl6 structure, with properties calculated at the PBE level.

a = 7.970 Å, b = 7.970 Å, c = 7.949 Å
α = 99.44°, β = 99.44°, γ = 32.30°
Sites, in units of the cell vectors:
K 0.000 0.000 0.000
Cu 0.226 0.226 0.745
Cu 0.774 0.774 0.255
Cl 0.085 0.085 0.647
Cl 0.262 0.262 0.325
Cl 0.355 0.355 0.913
Cl 0.645 0.645 0.087
Cl 0.738 0.738 0.675
Cl 0.915 0.915 0.353

## Properties
**D(E_F)**: 5.17 states/eV per cell
**E above lowest polymorph**: 0.028 eV per atom
**Energy relative to the elements, uncorrected**: -0.69 eV per atom
**Spin magnetization**: 0.00 μB per formula unit
**Space group**: C2/m, No. 12

---

Record 2
Below is a geometry-optimized K2LaCuCl6 structure, with properties calculated at the PBE level.

a = 7.486 Å, b = 7.486 Å, c = 7.486 Å
α = 60.00°, β = 60.00°, γ = 60.00°
Sites, in units of the cell vectors:
K 0.250 0.250 0.250
K 0.750 0.750 0.750
La 0.000 0.000 0.000
Cu 0.500 0.500 0.500
Cl 0.261 0.261 0.739
Cl 0.261 0.739 0.261
Cl 0.261 0.739 0.739
Cl 0.739 0.261 0.261
Cl 0.739 0.261 0.739
Cl 0.739 0.739 0.261

## Properties
**D(E_F)**: 0.00 states/eV per cell
**E above lowest polymorph**: 0.051 eV per atom
**Energy relative to the elements, uncorrected**: -1.75 eV per atom
**Spin magnetization**: 0.09 μB per formula unit
**Space group**: Fm-3m, No. 225

---

Record 3
Below is a geometry-optimized K2LaCuCl6 structure, with properties calculated at the PBE level.

a = 7.779 Å, b = 8.422 Å, c = 12.185 Å
α = 90.00°, β = 128.79°, γ = 90.00°
Sites, in units of the cell vectors:
K 0.236 0.080 0.247
K 0.236 0.420 0.747
K 0.764 0.580 0.253
K 0.764 0.920 0.753
La 0.000 0.000 0.500
La 0.000 0.500 0.000
Cu 0.500 0.000 0.000
Cu 0.500 0.500 0.500
Cl 0.111 0.211 0.951
Cl 0.111 0.289 0.451
Cl 0.252 0.660 0.949
Cl 0.252 0.840 0.449
Cl 0.385 0.038 0.788
Cl 0.385 0.462 0.288
Cl 0.615 0.538 0.712
Cl 0.615 0.962 0.212
Cl 0.748 0.160 0.551
Cl 0.748 0.340 0.051
Cl 0.889 0.711 0.549
Cl 0.889 0.789 0.049

## Properties
**D(E_F)**: 0.00 states/eV per cell
**E above lowest polymorph**: 0.000 eV per atom
**Energy relative to the elements, uncorrected**: -1.80 eV per atom
**Spin magnetization**: 0.08 μB per formula unit
**Space group**: P2_1/c, No. 14

---

Record 4
Below is a geometry-optimized KLiCuCl3 structure, with properties calculated at the PBE level.

a = 6.814 Å, b = 6.814 Å, c = 7.643 Å
α = 108.34°, β = 108.34°, γ = 72.27°
Sites, in units of the cell vectors:
K 0.195 0.195 0.141
K 0.805 0.805 0.859
Li 0.421 0.421 0.726
Li 0.579 0.579 0.274
Cu 0.169 0.831 0.500
Cu 0.831 0.169 0.500
Cl 0.200 0.200 0.549
Cl 0.214 0.680 0.200
Cl 0.320 0.786 0.800
Cl 0.680 0.214 0.200
Cl 0.786 0.320 0.800
Cl 0.800 0.800 0.451

## Properties
**D(E_F)**: 0.00 states/eV per cell
**Energy relative to the elements, uncorrected**: -1.34 eV per atom
**Spin magnetization**: 0.04 μB per formula unit
**Space group**: C2/m, No. 12

---

Record 5
Below is a geometry-optimized K3LiCu2Cl6 structure, with properties calculated at the PBE level.

a = 7.336 Å, b = 7.336 Å, c = 7.997 Å
α = 90.00°, β = 90.00°, γ = 120.00°
Sites, in units of the cell vectors:
K 0.000 0.000 0.000
K 0.333 0.667 0.669
K 0.667 0.333 0.331
Li 0.000 0.000 0.500
Cu 0.333 0.667 0.272
Cu 0.667 0.333 0.728
Cl 0.160 0.319 0.293
Cl 0.160 0.840 0.293
Cl 0.319 0.160 0.707
Cl 0.681 0.840 0.293
Cl 0.840 0.160 0.707
Cl 0.840 0.681 0.707

## Properties
**D(E_F)**: 0.00 states/eV per cell
**Energy relative to the elements, uncorrected**: -1.34 eV per atom
**Spin magnetization**: 0.02 μB per formula unit
**Space group**: P-3m1, No. 164

---

Record 6
Below is a geometry-optimized K2LiCu2Cl6 structure, with properties calculated at the PBE level.

a = 7.202 Å, b = 7.202 Å, c = 7.555 Å
α = 114.78°, β = 114.78°, γ = 57.69°
Sites, in units of the cell vectors:
K 0.215 0.215 0.189
K 0.785 0.785 0.811
Li 0.000 0.000 0.500
Cu 0.440 0.440 0.743
Cu 0.560 0.560 0.257
Cl 0.189 0.700 0.214
Cl 0.246 0.246 0.631
Cl 0.300 0.811 0.786
Cl 0.700 0.189 0.214
Cl 0.754 0.754 0.369
Cl 0.811 0.300 0.786

## Properties
**D(E_F)**: 4.56 states/eV per cell
**Energy relative to the elements, uncorrected**: -1.25 eV per atom
**Spin magnetization**: 1.03 μB per formula unit
**Space group**: C2/m, No. 12

---

Record 7
Below is a geometry-optimized K2LiCu2Cl7 structure, with properties calculated at the PBE level.

a = 4.850 Å, b = 4.850 Å, c = 12.786 Å
α = 100.92°, β = 100.92°, γ = 90.01°
Sites, in units of the cell vectors:
K 0.179 0.179 0.357
K 0.821 0.821 0.643
Li 0.000 0.000 0.000
Cu 0.404 0.404 0.809
Cu 0.596 0.596 0.191
Cl 0.089 0.590 0.177
Cl 0.307 0.307 0.615
Cl 0.410 0.911 0.823
Cl 0.500 0.500 0.000
Cl 0.590 0.089 0.177
Cl 0.693 0.693 0.385
Cl 0.911 0.410 0.823

## Properties
**D(E_F)**: 3.42 states/eV per cell
**Energy relative to the elements, uncorrected**: -1.12 eV per atom
**Spin magnetization**: 0.00 μB per formula unit
**Space group**: C2/m, No. 12

---

Record 8
Below is a geometry-optimized KLi4Cu3Cl12 structure, with properties calculated at the PBE level.

a = 8.171 Å, b = 8.171 Å, c = 8.171 Å
α = 109.47°, β = 109.47°, γ = 109.47°
Sites, in units of the cell vectors:
K 0.000 0.000 0.000
Li 0.000 0.000 0.500
Li 0.000 0.500 0.000
Li 0.500 0.000 0.000
Li 0.500 0.500 0.500
Cu 0.000 0.500 0.500
Cu 0.500 0.000 0.500
Cu 0.500 0.500 0.000
Cl 0.160 0.326 0.834
Cl 0.166 0.492 0.326
Cl 0.166 0.840 0.674
Cl 0.326 0.166 0.492
Cl 0.326 0.834 0.160
Cl 0.492 0.326 0.166
Cl 0.508 0.674 0.834
Cl 0.674 0.166 0.840
Cl 0.674 0.834 0.508
Cl 0.834 0.160 0.326
Cl 0.834 0.508 0.674
Cl 0.840 0.674 0.166

## Properties
**D(E_F)**: 11.14 states/eV per cell
**Energy relative to the elements, uncorrected**: -1.11 eV per atom
**Spin magnetization**: 2.04 μB per formula unit
**Space group**: Im-3, No. 204

---

Record 9
Below is a geometry-optimized KLiCuCl4 structure, with properties calculated at the PBE level.

a = 6.255 Å, b = 7.187 Å, c = 8.505 Å
α = 90.00°, β = 103.76°, γ = 90.00°
Sites, in units of the cell vectors:
K 0.240 0.250 0.089
K 0.760 0.750 0.911
Li 0.306 0.250 0.668
Li 0.694 0.750 0.332
Cu 0.195 0.750 0.329
Cu 0.805 0.250 0.671
Cl 0.055 0.020 0.733
Cl 0.055 0.480 0.733
Cl 0.376 0.750 0.110
Cl 0.491 0.750 0.535
Cl 0.509 0.250 0.465
Cl 0.624 0.250 0.890
Cl 0.945 0.520 0.267
Cl 0.945 0.980 0.267

## Properties
**D(E_F)**: 9.78 states/eV per cell
**Energy relative to the elements, uncorrected**: -1.24 eV per atom
**Spin magnetization**: 1.02 μB per formula unit
**Space group**: P2_1/m, No. 11

---

Record 10
Below is a geometry-optimized KLi2CuCl4 structure, with properties calculated at the PBE level.

a = 6.851 Å, b = 6.851 Å, c = 13.578 Å
α = 90.00°, β = 90.00°, γ = 147.39°
Sites, in units of the cell vectors:
K 0.122 0.878 0.750
K 0.878 0.122 0.250
Li 0.373 0.627 0.542
Li 0.373 0.627 0.958
Li 0.627 0.373 0.042
Li 0.627 0.373 0.458
Cu 0.155 0.845 0.250
Cu 0.845 0.155 0.750
Cl 0.000 0.000 0.000
Cl 0.000 0.000 0.500
Cl 0.255 0.745 0.108
Cl 0.255 0.745 0.392
Cl 0.440 0.560 0.750
Cl 0.560 0.440 0.250
Cl 0.745 0.255 0.608
Cl 0.745 0.255 0.892

## Properties
**D(E_F)**: 0.00 states/eV per cell
**Energy relative to the elements, uncorrected**: -1.46 eV per atom
**Spin magnetization**: 0.04 μB per formula unit
**Space group**: Cmcm, No. 63

---

Record 11
Below is a geometry-optimized K3LiCu2Cl9 structure, with properties calculated at the PBE level.

a = 6.906 Å, b = 6.906 Å, c = 8.501 Å
α = 90.00°, β = 90.00°, γ = 120.00°
Sites, in units of the cell vectors:
K 0.000 0.000 0.000
K 0.333 0.667 0.655
K 0.667 0.333 0.345
Li 0.000 0.000 0.500
Cu 0.333 0.667 0.166
Cu 0.667 0.333 0.834
Cl 0.000 0.500 0.000
Cl 0.170 0.340 0.320
Cl 0.170 0.830 0.320
Cl 0.340 0.170 0.680
Cl 0.500 0.000 0.000
Cl 0.500 0.500 0.000
Cl 0.660 0.830 0.320
Cl 0.830 0.170 0.680
Cl 0.830 0.660 0.680

## Properties
**D(E_F)**: 5.81 states/eV per cell
**Energy relative to the elements, uncorrected**: -1.20 eV per atom
**Spin magnetization**: 0.00 μB per formula unit
**Space group**: P-3m1, No. 164

---

Record 12
Below is a geometry-optimized K2LuCuCl6 structure, with properties calculated at the PBE level.

a = 7.235 Å, b = 7.235 Å, c = 7.235 Å
α = 60.00°, β = 60.00°, γ = 60.00°
Sites, in units of the cell vectors:
K 0.250 0.250 0.250
K 0.750 0.750 0.750
Lu 0.000 0.000 0.000
Cu 0.500 0.500 0.500
Cl 0.252 0.252 0.748
Cl 0.252 0.748 0.252
Cl 0.252 0.748 0.748
Cl 0.748 0.252 0.252
Cl 0.748 0.252 0.748
Cl 0.748 0.748 0.252

## Properties
**D(E_F)**: 0.00 states/eV per cell
**Energy relative to the elements, uncorrected**: -1.75 eV per atom
**Spin magnetization**: 0.08 μB per formula unit
**Space group**: Fm-3m, No. 225

---

- What is the D(E_F) in the eleventh record?
  5.81 states/eV per cell